<P>
This record from the Alexandria database describes a relaxed structure of BeCuPt. The functional is PBE.

```
BeCuPt
1.0
-1.218 -3.406 -3.889
5.083 1.141 1.036
0.362 -7.395 6.362
Cu Be Pt
6 6 6
Cartesian
0.302 -6.163 5.302
-0.367 -6.633 2.297
0.060 -1.233 1.060
2.662 -1.895 2.639
1.932 -1.132 -1.426
0.181 -3.698 3.181
0.475 -3.064 -1.092
3.511 -1.666 0.360
1.393 -5.350 1.191
1.323 -8.349 2.702
2.834 -4.310 2.318
3.146 -6.241 5.049
2.039 -3.316 0.452
-0.474 -4.449 0.418
-0.260 -8.816 4.175
2.769 -4.078 4.517
2.555 0.289 0.761
2.188 -6.344 3.057
```

Summary:
**Mass density**: 11.182 g cm⁻³
**V**: 238.5 Å³ per cell
**Total magnetic moment**: 0.00 μB/cell

<Q>
This record from the Alexandria database describes a relaxed structure of BeCuPt. The functional is PBE.

```
BeCuPt
1.0
4.965 -0.006 0.006
4.180 2.680 0.012
0.785 0.225 2.676
Be Cu Pt
1 1 1
Cartesian
0.817 0.234 2.666
3.713 1.082 1.745
6.185 1.807 0.959
```

Summary:
**Mass density**: 12.467 g cm⁻³
**V**: 35.6 Å³ per cell
**Total magnetic moment**: 0.00 μB/cell

<R>
This record from the Alexandria database describes a relaxed structure of BeCuPt. The functional is PBE.

```
BeCuPt
1.0
3.793 -0.035 -0.038
-1.883 3.293 0.038
-1.875 -1.090 3.093
Pt Cu Be
1 1 1
Cartesian
0.031 2.171 2.834
1.913 1.068 1.272
0.017 -0.010 2.053
```

Summary:
**Mass density**: 11.612 g cm⁻³
**V**: 38.3 Å³ per cell
**Total magnetic moment**: 0.00 μB/cell

Of them, <P> has the lowest stability.

<P>
This record from the Alexandria database describes a relaxed structure of Be3CuPt. The functional is PBE.

```
Be3CuPt
1.0
4.224 0.000 0.000
0.000 4.224 0.000
0.000 0.000 4.224
Pt Be Cu
1 3 1
Cartesian
0.000 0.000 0.000
0.000 2.112 0.000
0.000 0.000 2.112
2.112 0.000 0.000
2.112 2.112 2.112
```

Summary:
**Mass density**: 6.295 g cm⁻³
**V**: 75.4 Å³ per cell
**Total magnetic moment**: 0.00 μB/cell

<Q>
This record from the Alexandria database describes a relaxed structure of Be3CuPt. The functional is PBE.

```
Be3CuPt
1.0
-0.645 3.699 1.132
-3.509 -0.077 -1.748
-1.627 -1.300 3.323
Pt Cu Be
1 1 3
Cartesian
-2.890 1.161 1.353
0.000 0.000 0.000
-1.755 -0.038 -0.874
-0.322 1.849 0.566
-0.813 -0.650 1.661
```

Summary:
**Mass density**: 7.867 g cm⁻³
**V**: 60.3 Å³ per cell
**Total magnetic moment**: 0.00 μB/cell

Of them, <Q> has the lowest stability.

<P>
This record from the Alexandria database describes a relaxed structure of PuBeCu. The functional is PBE.

```
PuBeCu
1.0
3.284 0.000 0.000
0.000 3.284 0.000
-1.642 -1.642 7.656
Cu Pu Be
2 2 2
Cartesian
0.000 0.000 1.475
1.642 1.642 6.181
1.642 1.642 3.376
0.000 0.000 4.280
1.642 0.000 0.000
0.000 1.642 0.000
```

Summary:
**Mass density**: 12.730 g cm⁻³
**V**: 82.6 Å³ per cell
**Total magnetic moment**: 0.00 μB/cell

<Q>
This record from the Alexandria database describes a relaxed structure of PuBeCu. The functional is PBE.

```
PuBeCu
1.0
2.497 0.000 0.000
0.000 2.497 0.000
-1.249 -1.249 6.114
Be Cu Pu
1 1 1
Cartesian
1.249 1.249 2.282
0.000 0.000 3.727
0.000 0.000 0.104
```

Summary:
**Mass density**: 13.789 g cm⁻³
**V**: 38.1 Å³ per cell
**Total magnetic moment**: 0.00 μB/cell

Of them, <P> has the lowest stability.

<P>
This record from the Alexandria database describes a relaxed structure of PuBeCu2. The functional is PBE.

```
PuBeCu2
1.0
2.574 0.000 0.000
1.287 2.229 0.000
1.287 0.743 9.077
Pu Cu Be
1 2 1
Cartesian
2.574 1.486 4.538
3.861 2.229 7.257
1.287 0.743 1.820
0.000 0.000 0.000
```

Summary:
**Mass density**: 12.121 g cm⁻³
**V**: 52.1 Å³ per cell
**Total magnetic moment**: 1.31 μB/cell

<Q>
This record from the Alexandria database describes a relaxed structure of PuBeCu2. The functional is PBE.

```
PuBeCu2
1.0
2.514 0.000 0.000
0.000 2.514 0.000
0.000 0.000 7.882
Be Pu Cu
1 1 2
Cartesian
1.257 1.257 0.000
1.257 1.257 3.941
0.000 0.000 1.476
0.000 0.000 6.406
```

Summary:
**Mass density**: 12.669 g cm⁻³
**V**: 49.8 Å³ per cell
**Total magnetic moment**: 0.66 μB/cell

Of them, <P> has the lowest stability.

<P>
This record from the Alexandria database describes a relaxed structure of Be2CuRe. The functional is PBE.

```
Be2CuRe
1.0
-4.305 -0.288 2.134
-3.995 -0.477 -2.644
4.279 -1.748 1.343
Re Cu Be
1 1 2
Cartesian
-2.130 -1.213 1.608
-3.973 -0.366 -0.244
-0.163 -0.015 -0.010
-1.905 -1.301 -0.776
```

Summary:
**Mass density**: 10.194 g cm⁻³
**V**: 43.6 Å³ per cell
**Total magnetic moment**: 0.00 μB/cell

<Q>
This record from the Alexandria database describes a relaxed structure of Be2CuRe. The functional is PBE.

```
Be2CuRe
1.0
-0.145 -0.389 2.633
-0.453 -2.595 -0.408
5.927 -1.061 0.169
Be Re Cu
2 1 1
Cartesian
2.811 -0.503 0.080
0.153 -0.027 0.004
4.147 -2.288 1.239
1.183 -1.757 1.155
```

Summary:
**Mass density**: 10.392 g cm⁻³
**V**: 42.8 Å³ per cell
**Total magnetic moment**: 0.00 μB/cell

Of them, <P> has the lowest stability.

<P>
This record from the Alexandria database describes a relaxed structure of Be2CuRe. The functional is PBE.

```
Be2CuRe
1.0
-3.218 -0.834 2.606
-3.366 -2.466 0.658
1.664 -3.369 2.697
Be Cu Re
2 1 1
Cartesian
-0.030 -0.109 0.093
-2.430 -3.226 2.888
-3.690 -5.002 4.471
-1.230 -1.667 1.490
```

Summary:
**Mass density**: 9.659 g cm⁻³
**V**: 46.0 Å³ per cell
**Total magnetic moment**: 0.00 μB/cell

<Q>
This record from the Alexandria database describes a relaxed structure of Be2CuRe. The functional is PBE.

```
Be2CuRe
1.0
3.749 0.000 0.000
0.000 2.552 -0.028
0.000 0.371 4.795
Re Be Cu
1 2 1
Cartesian
1.875 2.192 3.576
0.000 0.833 4.639
0.000 1.000 2.540
1.875 0.731 1.192
```

Summary:
**Mass density**: 9.685 g cm⁻³
**V**: 45.9 Å³ per cell
**Total magnetic moment**: 0.00 μB/cell

<R>
This record from the Alexandria database describes a relaxed structure of Be2CuRe. The functional is PBE.

```
Be2CuRe
1.0
-1.513 -2.186 0.307
1.740 -0.952 1.796
-3.019 2.701 4.357
Re Be Cu
1 2 1
Cartesian
-2.234 0.530 4.439
-0.580 -0.949 2.052
-0.132 0.118 0.190
-1.357 1.213 1.957
```

Summary:
**Mass density**: 10.436 g cm⁻³
**V**: 42.6 Å³ per cell
**Total magnetic moment**: 0.00 μB/cell

<S>
This record from the Alexandria database describes a relaxed structure of Be2CuRe. The functional is PBE.

```
Be2CuRe
1.0
2.554 -0.036 0.000
-0.555 2.493 0.000
0.000 0.000 7.073
Re Cu Be
1 1 2
Cartesian
1.000 1.229 5.305
1.000 1.229 1.768
0.000 0.000 3.464
0.000 0.000 0.073
```

Summary:
**Mass density**: 9.903 g cm⁻³
**V**: 44.9 Å³ per cell
**Total magnetic moment**: 0.00 μB/cell

Of them, <P> has the lowest stability.

<P>
This record from the Alexandria database describes a relaxed structure of Be2CuRe. The functional is PBE.

```
Be2CuRe
1.0
5.995 0.000 0.000
0.000 5.995 0.000
2.997 2.997 2.524
Cu Be Re
2 4 2
Cartesian
2.997 2.997 0.000
2.997 5.995 1.262
4.354 1.499 0.631
4.496 4.639 1.893
7.494 7.351 1.893
1.641 4.496 0.631
0.000 0.000 0.000
5.995 2.997 1.262
```

Summary:
**Mass density**: 9.802 g cm⁻³
**V**: 90.7 Å³ per cell
**Total magnetic moment**: 0.00 μB/cell

<Q>
This record from the Alexandria database describes a relaxed structure of Be2CuRe. The functional is PBE.

```
Be2CuRe
1.0
4.551 -0.001 -0.004
3.843 2.438 -0.004
1.309 0.380 3.968
Re Cu Be
1 1 2
Cartesian
2.435 0.707 0.722
4.817 1.398 2.249
0.203 0.059 0.190
7.098 2.061 2.779
```

Summary:
**Mass density**: 10.093 g cm⁻³
**V**: 44.1 Å³ per cell
**Total magnetic moment**: 0.00 μB/cell

<R>
This record from the Alexandria database describes a relaxed structure of Be2CuRe. The functional is PBE.

```
Be2CuRe
1.0
3.757 0.000 0.000
0.000 2.601 0.003
0.000 1.287 4.456
Re Be Cu
1 2 1
Cartesian
1.879 3.075 3.549
0.000 1.773 4.395
1.879 0.489 1.206
0.000 1.782 1.995
```

Summary:
**Mass density**: 10.213 g cm⁻³
**V**: 43.5 Å³ per cell
**Total magnetic moment**: 0.00 μB/cell

Of them, <P> has the lowest stability.

<P>
This record from the Alexandria database describes a relaxed structure of BeCuRe. The functional is PBE.

```
BeCuRe
1.0
-4.855 -0.344 -1.965
-4.880 -0.730 1.788
4.658 2.402 0.279
Re Be Cu
1 1 1
Cartesian
-6.391 -0.705 -0.116
-9.637 -1.063 -0.175
-3.443 -0.380 -0.063
```

Summary:
**Mass density**: 12.325 g cm⁻³
**V**: 34.9 Å³ per cell
**Total magnetic moment**: 0.00 μB/cell

<Q>
This record from the Alexandria database describes a relaxed structure of BeCuRe. The functional is PBE.

```
BeCuRe
1.0
3.979 0.000 0.000
1.989 3.446 0.000
1.989 1.149 3.249
Cu Re Be
1 1 1
Cartesian
3.979 2.297 1.624
5.968 3.446 2.437
0.000 0.000 0.000
```

Summary:
**Mass density**: 9.647 g cm⁻³
**V**: 44.5 Å³ per cell
**Total magnetic moment**: 1.67 μB/cell

<R>
This record from the Alexandria database describes a relaxed structure of BeCuRe. The functional is PBE.

```
BeCuRe
1.0
-2.640 -2.376 1.700
3.320 0.933 1.900
-1.204 2.104 1.071
Re Cu Be
1 1 1
Cartesian
0.531 1.233 2.548
-0.854 -0.922 1.945
-0.200 0.350 0.178
```

Summary:
**Mass density**: 12.075 g cm⁻³
**V**: 35.6 Å³ per cell
**Total magnetic moment**: 0.00 μB/cell

<S>
This record from the Alexandria database describes a relaxed structure of BeCuRe. The functional is PBE.

```
BeCuRe
1.0
2.687 0.000 0.000
-1.344 2.327 0.000
0.000 0.000 12.122
Be Cu Re
2 2 2
Cartesian
1.344 0.776 2.842
0.000 1.552 9.280
0.000 1.552 1.053
1.344 0.776 11.069
0.000 0.000 4.845
0.000 0.000 7.277
```

Summary:
**Mass density**: 11.334 g cm⁻³
**V**: 75.8 Å³ per cell
**Total magnetic moment**: 0.00 μB/cell

Of them, <Q> has the lowest stability.